## AgSb2RuN (PBE)

Data for a relaxed AgSb2RuN crystal.

Lattice parameters (Å, degrees): 5.389 3.741 5.389 90.00 90.00 90.00
Site moments in Bohr magnetons follow the coordinates.
Sites, in units of the cell vectors:
Sb: 0.000 0.000 0.500  -0.03
Sb: 0.500 0.000 0.000  -0.03
N: 0.000 0.500 0.000  -0.39
Ag: 0.000 0.000 0.000  -0.07
Ru: 0.500 0.500 0.500  1.23

Summary:
Raw formation energy (eV per atom): 1.550
Space-group type: P4/mmm (123)
M_tot (μB/f.u.): 0.60

## AgRuSe2N (PBE)

Data for a relaxed AgRuSe2N crystal.

Lattice parameters (Å, degrees): 5.140 5.140 3.891 90.00 90.00 90.00
Site moments in Bohr magnetons follow the coordinates.
Sites, in units of the cell vectors:
Ru: 0.500 0.500 0.500  2.48
Se: 0.000 0.500 0.000  0.05
Se: 0.500 0.000 0.000  0.05
Ag: 0.000 0.000 0.000  0.10
N: 0.000 0.000 0.500  1.01

Summary:
Raw formation energy (eV per atom): 1.655
Space-group type: P4/mmm (123)
Energy above the lowest structure with this stoichiometry (kJ/mol of formula units): 591
M_tot (μB/f.u.): 4.36

## AgRuSeN2 (PBE)

Data for a relaxed AgRuSeN2 crystal.

Lattice parameters (Å, degrees): 3.793 3.793 5.551 90.00 90.00 90.00
Site moments in Bohr magnetons follow the coordinates.
Sites, in units of the cell vectors:
Ru: 0.000 0.000 0.000  -0.04
Se: 0.000 0.000 0.500  0.01
Ag: 0.500 0.500 0.500  0.00
N: 0.000 0.500 0.000  0.15
N: 0.500 0.000 0.000  0.15

Summary:
Raw formation energy (eV per atom): 0.716
Space-group type: P4/mmm (123)
Energy above the lowest structure with this stoichiometry (kJ/mol of formula units): 0
M_tot (μB/f.u.): 0.38